Version 1
# UAg3Te4 PBE-GGA optimized geometry
# Spin magnetization   0.245 μB per atom
data_UAg3Te4
_chemical_formula_sum 'U2 Ag6 Te8'
_symmetry_space_group_name_H-M 'P 1'
_symmetry_Int_Tables_number 1
_cell_length_a 10.0076
_cell_length_b 8.6239
_cell_length_c 6.0482
_cell_angle_alpha 90.00
_cell_angle_beta 90.00
_cell_angle_gamma 90.00
loop_
_symmetry_equiv_pos_as_xyz
'x,y,z'
loop_
_atom_site_label
_atom_site_type_symbol
_atom_site_fract_x
_atom_site_fract_y
_atom_site_fract_z
U1 U 0.0000 0.1680 0.0000
U2 U 0.5000 0.8320 0.5000
Ag1 Ag 0.0000 0.8447 0.4911
Ag2 Ag 0.2451 0.3300 0.4993
Ag3 Ag 0.2549 0.6700 0.9993
Ag4 Ag 0.5000 0.1553 0.9911
Ag5 Ag 0.7451 0.6700 0.9993
Ag6 Ag 0.7549 0.3300 0.4993
Te1 Te 0.0000 0.1696 0.4997
Te2 Te 0.0000 0.8208 0.9950
Te3 Te 0.2390 0.6624 0.4992
Te4 Te 0.2610 0.3376 0.9992
Te5 Te 0.5000 0.1792 0.4950
Te6 Te 0.5000 0.8304 0.9997
Te7 Te 0.7390 0.3376 0.9992
Te8 Te 0.7610 0.6624 0.4992

***

Version 2
# UAg3Te4 PBE-GGA optimized geometry
# Spin magnetization   0.121 μB per atom
data_UAg3Te4
_chemical_formula_sum 'U1 Ag3 Te4'
_symmetry_space_group_name_H-M 'P 1'
_symmetry_Int_Tables_number 1
_cell_length_a 6.6351
_cell_length_b 6.6351
_cell_length_c 6.6351
_cell_angle_alpha 90.00
_cell_angle_beta 90.00
_cell_angle_gamma 90.00
loop_
_symmetry_equiv_pos_as_xyz
'x,y,z'
loop_
_atom_site_label
_atom_site_type_symbol
_atom_site_fract_x
_atom_site_fract_y
_atom_site_fract_z
U1 U 0.0000 0.0000 0.0000
Ag1 Ag 0.0000 0.0000 0.5000
Ag2 Ag 0.0000 0.5000 0.0000
Ag3 Ag 0.5000 0.0000 0.0000
Te1 Te 0.2509 0.2509 0.2509
Te2 Te 0.2509 0.7491 0.7491
Te3 Te 0.7491 0.2509 0.7491
Te4 Te 0.7491 0.7491 0.2509

***

Most favorable first, least favorable last: version 2, version 1

***

Version 1
# VAgTe PBE-GGA optimized geometry
# Spin magnetization   0.798 μB per atom
data_VAgTe
_chemical_formula_sum 'V2 Ag2 Te2'
_symmetry_space_group_name_H-M 'P 1'
_symmetry_Int_Tables_number 1
_cell_length_a 3.5427
_cell_length_b 3.5427
_cell_length_c 10.4464
_cell_angle_alpha 90.00
_cell_angle_beta 90.00
_cell_angle_gamma 90.00
loop_
_symmetry_equiv_pos_as_xyz
'x,y,z'
loop_
_atom_site_label
_atom_site_type_symbol
_atom_site_fract_x
_atom_site_fract_y
_atom_site_fract_z
V1 V 0.2500 0.2500 0.2203
V2 V 0.7500 0.7500 0.7797
Ag1 Ag 0.2500 0.2500 0.9393
Ag2 Ag 0.7500 0.7500 0.0607
Te1 Te 0.2500 0.2500 0.6617
Te2 Te 0.7500 0.7500 0.3383

***

Version 2
# VAgTe PBE-GGA optimized geometry
# Spin magnetization   0.123 μB per atom
data_VAgTe
_chemical_formula_sum 'V2 Ag2 Te2'
_symmetry_space_group_name_H-M 'P 1'
_symmetry_Int_Tables_number 1
_cell_length_a 4.2189
_cell_length_b 4.2189
_cell_length_c 6.7151
_cell_angle_alpha 90.00
_cell_angle_beta 90.00
_cell_angle_gamma 90.00
loop_
_symmetry_equiv_pos_as_xyz
'x,y,z'
loop_
_atom_site_label
_atom_site_type_symbol
_atom_site_fract_x
_atom_site_fract_y
_atom_site_fract_z
V1 V 0.2500 0.7500 0.0000
V2 V 0.7500 0.2500 0.0000
Ag1 Ag 0.2500 0.2500 0.2932
Ag2 Ag 0.7500 0.7500 0.7068
Te1 Te 0.2500 0.2500 0.7329
Te2 Te 0.7500 0.7500 0.2671

***

Most favorable first, least favorable last: version 2, version 1

***

Version 1
# VAg3Te4 PBE-GGA optimized geometry
# Spin magnetization   0.000 μB per atom
data_VAg3Te4
_chemical_formula_sum 'V2 Ag6 Te8'
_symmetry_space_group_name_H-M 'P 1'
_symmetry_Int_Tables_number 1
_cell_length_a 8.7771
_cell_length_b 7.6754
_cell_length_c 7.4487
_cell_angle_alpha 90.00
_cell_angle_beta 90.00
_cell_angle_gamma 90.00
loop_
_symmetry_equiv_pos_as_xyz
'x,y,z'
loop_
_atom_site_label
_atom_site_type_symbol
_atom_site_fract_x
_atom_site_fract_y
_atom_site_fract_z
V1 V 0.0000 0.1743 0.0000
V2 V 0.5000 0.8257 0.5000
Ag1 Ag 0.0000 0.8456 0.4903
Ag2 Ag 0.2488 0.6735 0.9853
Ag3 Ag 0.2512 0.3265 0.4853
Ag4 Ag 0.5000 0.1544 0.9903
Ag5 Ag 0.7488 0.3265 0.4853
Ag6 Ag 0.7512 0.6735 0.9853
Te1 Te 0.0000 0.1738 0.6625
Te2 Te 0.0000 0.8659 0.1158
Te3 Te 0.2376 0.3287 0.1117
Te4 Te 0.2624 0.6713 0.6117
Te5 Te 0.5000 0.1341 0.6158
Te6 Te 0.5000 0.8262 0.1625
Te7 Te 0.7376 0.6713 0.6117
Te8 Te 0.7624 0.3287 0.1117

***

Version 2
# VAg3Te4 PBE-GGA optimized geometry
# Spin magnetization   0.000 μB per atom
data_VAg3Te4
_chemical_formula_sum 'V1 Ag3 Te4'
_symmetry_space_group_name_H-M 'P 1'
_symmetry_Int_Tables_number 1
_cell_length_a 6.4502
_cell_length_b 6.4502
_cell_length_c 6.4502
_cell_angle_alpha 90.00
_cell_angle_beta 90.00
_cell_angle_gamma 90.00
loop_
_symmetry_equiv_pos_as_xyz
'x,y,z'
loop_
_atom_site_label
_atom_site_type_symbol
_atom_site_fract_x
_atom_site_fract_y
_atom_site_fract_z
V1 V 0.0000 0.0000 0.0000
Ag1 Ag 0.0000 0.0000 0.5000
Ag2 Ag 0.0000 0.5000 0.0000
Ag3 Ag 0.5000 0.0000 0.0000
Te1 Te 0.2356 0.2356 0.2356
Te2 Te 0.2356 0.7644 0.7644
Te3 Te 0.7644 0.2356 0.7644
Te4 Te 0.7644 0.7644 0.2356

***

Most favorable first, least favorable last: version 2, version 1

***

Version 1
# VAgTe3 PBE-GGA optimized geometry
# Spin magnetization   0.000 μB per atom
data_VAgTe3
_chemical_formula_sum 'V2 Ag2 Te6'
_symmetry_space_group_name_H-M 'P 1'
_symmetry_Int_Tables_number 1
_cell_length_a 6.4968
_cell_length_b 3.6661
_cell_length_c 11.6604
_cell_angle_alpha 90.00
_cell_angle_beta 99.55
_cell_angle_gamma 90.00
loop_
_symmetry_equiv_pos_as_xyz
'x,y,z'
loop_
_atom_site_label
_atom_site_type_symbol
_atom_site_fract_x
_atom_site_fract_y
_atom_site_fract_z
V1 V 0.1929 0.2500 0.0406
V2 V 0.8071 0.7500 0.9594
Ag1 Ag 0.0283 0.2500 0.5959
Ag2 Ag 0.9717 0.7500 0.4041
Te1 Te 0.0376 0.7500 0.1707
Te2 Te 0.3669 0.7500 0.5639
Te3 Te 0.4982 0.7500 0.1136
Te4 Te 0.5018 0.2500 0.8864
Te5 Te 0.6331 0.2500 0.4361
Te6 Te 0.9624 0.2500 0.8293

***

Version 2
# VAgTe3 PBE-GGA optimized geometry
# Spin magnetization   0.195 μB per atom
data_VAgTe3
_chemical_formula_sum 'V1 Ag1 Te3'
_symmetry_space_group_name_H-M 'P 1'
_symmetry_Int_Tables_number 1
_cell_length_a 5.2388
_cell_length_b 5.2388
_cell_length_c 5.2388
_cell_angle_alpha 90.00
_cell_angle_beta 90.00
_cell_angle_gamma 90.00
loop_
_symmetry_equiv_pos_as_xyz
'x,y,z'
loop_
_atom_site_label
_atom_site_type_symbol
_atom_site_fract_x
_atom_site_fract_y
_atom_site_fract_z
V1 V 0.0000 0.0000 0.0000
Ag1 Ag 0.5000 0.5000 0.5000
Te1 Te 0.0000 0.0000 0.5000
Te2 Te 0.0000 0.5000 0.0000
Te3 Te 0.5000 0.0000 0.0000

***

Most favorable first, least favorable last: version 1, version 2

***

Version 1
# AgTe2W PBE-GGA optimized geometry
# Spin magnetization   0.000 μB per atom
data_AgTe2W
_chemical_formula_sum 'Ag2 Te4 W2'
_symmetry_space_group_name_H-M 'P 1'
_symmetry_Int_Tables_number 1
_cell_length_a 9.2392
_cell_length_b 3.5142
_cell_length_c 6.7359
_cell_angle_alpha 90.00
_cell_angle_beta 100.71
_cell_angle_gamma 90.00
loop_
_symmetry_equiv_pos_as_xyz
'x,y,z'
loop_
_atom_site_label
_atom_site_type_symbol
_atom_site_fract_x
_atom_site_fract_y
_atom_site_fract_z
Ag1 Ag 0.0000 0.0000 0.0000
Ag2 Ag 0.5000 0.5000 0.0000
Te1 Te 0.2473 0.0000 0.8629
Te2 Te 0.4656 0.0000 0.3610
Te3 Te 0.7473 0.5000 0.8629
Te4 Te 0.9656 0.5000 0.3610
W1 W 0.2498 0.5000 0.1833
W2 W 0.7498 0.0000 0.1833

***

Version 2
# AgTe2W PBE-GGA optimized geometry
# Spin magnetization   0.000 μB per atom
data_AgTe2W
_chemical_formula_sum 'Ag1 Te2 W1'
_symmetry_space_group_name_H-M 'P 1'
_symmetry_Int_Tables_number 1
_cell_length_a 3.3507
_cell_length_b 3.3507
_cell_length_c 7.7560
_cell_angle_alpha 90.00
_cell_angle_beta 90.00
_cell_angle_gamma 90.00
loop_
_symmetry_equiv_pos_as_xyz
'x,y,z'
loop_
_atom_site_label
_atom_site_type_symbol
_atom_site_fract_x
_atom_site_fract_y
_atom_site_fract_z
Ag1 Ag 0.0000 0.0000 0.0000
Te1 Te 0.5000 0.5000 0.2865
Te2 Te 0.5000 0.5000 0.7135
W1 W 0.0000 0.0000 0.5000

***

Most favorable first, least favorable last: version 2, version 1

***

Version 1
# AgTe2W PBE-GGA optimized geometry
# Spin magnetization   0.477 μB per atom
data_AgTe2W
_chemical_formula_sum 'Ag2 Te4 W2'
_symmetry_space_group_name_H-M 'P 1'
_symmetry_Int_Tables_number 1
_cell_length_a 4.1527
_cell_length_b 4.1527
_cell_length_c 10.1873
_cell_angle_alpha 90.00
_cell_angle_beta 90.00
_cell_angle_gamma 90.00
loop_
_symmetry_equiv_pos_as_xyz
'x,y,z'
loop_
_atom_site_label
_atom_site_type_symbol
_atom_site_fract_x
_atom_site_fract_y
_atom_site_fract_z
Ag1 Ag 0.0000 0.0000 0.0000
Ag2 Ag 0.5000 0.5000 0.5000
Te1 Te 0.0000 0.0000 0.5000
Te2 Te 0.0000 0.5000 0.7500
Te3 Te 0.5000 0.0000 0.2500
Te4 Te 0.5000 0.5000 0.0000
W1 W 0.0000 0.5000 0.2500
W2 W 0.5000 0.0000 0.7500

***

Version 2
# AgTe2W PBE-GGA optimized geometry
# Spin magnetization   0.000 μB per atom
data_AgTe2W
_chemical_formula_sum 'Ag2 Te4 W2'
_symmetry_space_group_name_H-M 'P 1'
_symmetry_Int_Tables_number 1
_cell_length_a 3.3478
_cell_length_b 5.2890
_cell_length_c 10.7351
_cell_angle_alpha 90.00
_cell_angle_beta 90.00
_cell_angle_gamma 90.00
loop_
_symmetry_equiv_pos_as_xyz
'x,y,z'
loop_
_atom_site_label
_atom_site_type_symbol
_atom_site_fract_x
_atom_site_fract_y
_atom_site_fract_z
Ag1 Ag 0.0000 0.0000 0.0000
Ag2 Ag 0.5000 0.5000 0.0000
Te1 Te 0.0000 0.5000 0.2926
Te2 Te 0.0000 0.5000 0.7074
Te3 Te 0.5000 0.0000 0.2926
Te4 Te 0.5000 0.0000 0.7074
W1 W 0.0000 0.0000 0.5000
W2 W 0.5000 0.5000 0.5000

***

Most favorable first, least favorable last: version 2, version 1